Density functional theory data (PBE-GGA) for a relaxed structure of V2ZnB2.

Results
- Space-group type: No. 127
- Calculated density: 6.293 Mg/m³
- Calculated formation energy: -387.4 meV per atom
- Density of states at the Fermi level: 6.47 states/eV/cell
- Raw total energy: -6.961 eV per atom

abc: 5.637 5.637 3.137
angles: 90.00 90.00 90.00
Element x y z (fractional)
Zn 0.000 0.000 0.000
Zn 0.500 0.500 0.000
B 0.392 0.892 0.000
B 0.892 0.608 0.000
B 0.608 0.108 0.000
B 0.108 0.392 0.000
V 0.175 0.675 0.500
V 0.675 0.825 0.500
V 0.825 0.325 0.500
V 0.325 0.175 0.500

Density functional theory data (PBE-GGA) for a relaxed structure of ZrVB2.

Results
- Space-group type: No. 225
- Calculated density: 5.749 Mg/m³
- Calculated formation energy: 172.5 meV per atom
- Density of states at the Fermi level: 1.74 states/eV/cell
- E above lowest polymorph: 739 meV per atom
- Raw total energy: -7.583 eV per atom

abc: 4.060 4.060 4.060
angles: 60.00 60.00 60.00
Last column: magnetic moment on the atom in μB.
Element x y z (fractional)
B 0.250 0.250 0.250  0.03
B 0.750 0.750 0.750  0.03
Zr 0.500 0.500 0.500  0.11
V 0.000 0.000 0.000  1.66

Density functional theory data (PBE-GGA) for a relaxed structure of ZrV2B.

Results
- Space-group type: No. 122
- Calculated density: 5.828 Mg/m³
- Calculated formation energy: 213.4 meV per atom
- Density of states at the Fermi level: 10.57 states/eV/cell
- Raw total energy: -8.152 eV per atom

abc: 6.972 6.972 5.479
angles: 50.49 50.49 90.00
Last column: magnetic moment on the atom in μB.
Element x y z (fractional)
B 0.500 0.500 0.000  -0.01
B 0.250 0.750 0.500  -0.01
Zr 0.000 0.000 0.000  0.00
Zr 0.750 0.250 0.500  0.00
V 0.545 0.125 0.250  0.41
V 0.205 0.625 0.250  0.41
V 0.375 0.455 0.750  0.41
V 0.875 0.795 0.750  0.41

Density functional theory data (PBE-GGA) for a relaxed structure of ZrVB.

Results
- Space-group type: No. 129
- Calculated density: 6.192 Mg/m³
- Calculated formation energy: -449.3 meV per atom
- Density of states at the Fermi level: 7.73 states/eV/cell
- Raw total energy: -8.564 eV per atom

abc: 3.463 3.463 6.841
angles: 90.00 90.00 90.00
Element x y z (fractional)
Zr 0.000 0.500 0.853
Zr 0.500 0.000 0.147
B 0.000 0.500 0.262
B 0.500 0.000 0.738
V 0.500 0.500 0.500
V 0.000 0.000 0.500

Density functional theory data (PBE-GGA) for a relaxed structure of ZrV2B4.

Results
- Space-group type: No. 71
- Calculated density: 5.769 Mg/m³
- Calculated formation energy: -798.2 meV per atom
- Density of states at the Fermi level: 1.55 states/eV/cell
- Raw total energy: -8.440 eV per atom

abc: 3.074 3.253 7.162
angles: 103.13 102.39 90.00
Element x y z (fractional)
B 0.641 0.641 0.283
B 0.359 0.359 0.717
B 0.072 0.572 0.145
B 0.928 0.428 0.855
Zr 0.500 0.000 0.000
V 0.811 0.811 0.622
V 0.189 0.189 0.378

Density functional theory data (PBE-GGA) for a relaxed structure of ZrVB4.

Results
- Space-group type: No. 55
- Calculated density: 5.493 Mg/m³
- Calculated formation energy: -776.8 meV per atom
- Density of states at the Fermi level: 7.88 states/eV/cell
- Raw total energy: -8.173 eV per atom

abc: 3.353 5.881 11.367
angles: 90.00 90.00 90.00
Element x y z (fractional)
Zr 0.000 0.626 0.350
Zr 0.000 0.374 0.650
Zr 0.000 0.126 0.150
Zr 0.000 0.874 0.850
V 0.000 0.630 0.085
V 0.000 0.370 0.915
V 0.000 0.130 0.415
V 0.000 0.870 0.585
B 0.500 0.791 0.188
B 0.500 0.209 0.812
B 0.500 0.291 0.312
B 0.500 0.709 0.688
B 0.500 0.868 0.033
B 0.500 0.132 0.967
B 0.500 0.368 0.467
B 0.500 0.632 0.533
B 0.500 0.884 0.452
B 0.500 0.116 0.548
B 0.500 0.384 0.048
B 0.500 0.616 0.952
B 0.500 0.977 0.305
B 0.500 0.023 0.695
B 0.500 0.477 0.195
B 0.500 0.523 0.805

Density functional theory data (PBE-GGA) for a relaxed structure of Zr3VB.

Results
- Space-group type: No. 221
- Calculated density: 5.578 Mg/m³
- Calculated formation energy: 138.6 meV per atom
- Density of states at the Fermi level: 6.59 states/eV/cell
- E above lowest polymorph: 0 meV per atom
- Raw total energy: -8.149 eV per atom

abc: 4.639 4.639 4.639
angles: 90.00 90.00 90.00
Last column: magnetic moment on the atom in μB.
Element x y z (fractional)
B 0.000 0.000 0.000  0.04
Zr 0.000 0.500 0.000  -0.02
Zr 0.000 0.000 0.500  -0.02
Zr 0.500 0.000 0.000  -0.02
V 0.500 0.500 0.500  2.25

Density functional theory data (PBE-GGA) for a relaxed structure of ZrVB2.

Results
- Space-group type: No. 166
- Calculated density: 5.586 Mg/m³
- Calculated formation energy: -355.9 meV per atom
- Density of states at the Fermi level: 1.55 states/eV/cell
- E above lowest polymorph: 211 meV per atom
- Raw total energy: -8.111 eV per atom

abc: 3.279 3.279 5.560
angles: 72.85 72.85 60.00
Element x y z (fractional)
B 0.263 0.263 0.211
B 0.737 0.737 0.789
Zr 0.500 0.500 0.500
V 0.000 0.000 0.000

Density functional theory data (PBE-GGA) for a relaxed structure of Zr3VB.

Results
- Space-group type: No. 221
- Calculated density: 5.172 Mg/m³
- Calculated formation energy: 1333.4 meV per atom
- Density of states at the Fermi level: 4.59 states/eV/cell
- E above lowest polymorph: 1195 meV per atom
- Raw total energy: -6.955 eV per atom

abc: 4.758 4.758 4.758
angles: 90.00 90.00 90.00
Element x y z (fractional)
B 0.500 0.500 0.500
Zr 0.000 0.500 0.000
Zr 0.000 0.000 0.500
Zr 0.500 0.000 0.000
V 0.000 0.000 0.000

Density functional theory data (PBE-GGA) for a relaxed structure of ZrVB2.

Results
- Space-group type: No. 122
- Calculated density: 4.443 Mg/m³
- Calculated formation energy: 569.3 meV per atom
- Density of states at the Fermi level: 4.91 states/eV/cell
- E above lowest polymorph: 1136 meV per atom
- Raw total energy: -7.186 eV per atom

abc: 4.681 4.681 6.494
angles: 68.87 68.87 90.00
Element x y z (fractional)
B 0.564 0.125 0.250
B 0.186 0.625 0.250
B 0.375 0.436 0.750
B 0.875 0.814 0.750
Zr 0.000 0.000 0.000
Zr 0.750 0.250 0.500
V 0.500 0.500 0.000
V 0.250 0.750 0.500

Density functional theory data (PBE-GGA) for a relaxed structure of ZrV2B6.

Results
- Space-group type: No. 191
- Calculated density: 5.433 Mg/m³
- Calculated formation energy: -740.2 meV per atom
- Density of states at the Fermi level: 3.62 states/eV/cell
- Raw total energy: -8.168 eV per atom

abc: 3.239 5.302 5.302
angles: 120.00 90.00 90.00
Element x y z (fractional)
Zr 0.000 0.000 0.000
V 0.000 0.333 0.667
V 0.000 0.667 0.333
B 0.500 0.340 0.340
B 0.500 0.660 0.660
B 0.500 0.000 0.660
B 0.500 0.660 0.000
B 0.500 0.340 0.000
B 0.500 0.000 0.340

Density functional theory data (PBE-GGA) for a relaxed structure of ZrVB2.

Results
- Space-group type: No. 62
- Calculated density: 5.835 Mg/m³
- Calculated formation energy: -566.9 meV per atom
- Density of states at the Fermi level: 14.26 states/eV/cell
- E above lowest polymorph: 0 meV per atom
- Raw total energy: -8.322 eV per atom

abc: 3.314 5.740 9.802
angles: 90.00 90.00 90.00
Element x y z (fractional)
Zr 0.750 0.380 0.352
Zr 0.250 0.620 0.648
Zr 0.750 0.880 0.148
Zr 0.250 0.120 0.852
V 0.750 0.369 0.053
V 0.250 0.631 0.947
V 0.750 0.869 0.447
V 0.250 0.131 0.553
B 0.250 0.031 0.323
B 0.750 0.969 0.677
B 0.250 0.531 0.177
B 0.750 0.469 0.823
B 0.250 0.218 0.176
B 0.750 0.782 0.824
B 0.250 0.718 0.324
B 0.750 0.282 0.676